No. 1
# HoEr2Co6Ni3 | OQMD | PBE | relaxed
# Energy of formation from the pure elements, meV/atom: -275
# Raw total energy, eV per cell: -229.0
# M_tot, μB/cell: 21.43
data_HoEr2Co6Ni3
_symmetry_space_group_name_H-M 'R -3 m'
_symmetry_Int_Tables_number 166
_symmetry_space_group_name_Hall '-R 3 2"'
_cell_length_a 4.8855
_cell_length_b 4.8855
_cell_length_c 24.6105
_cell_angle_alpha 90.00
_cell_angle_beta 90.00
_cell_angle_gamma 120.00
loop_
_atom_site_label
_atom_site_type_symbol
_atom_site_fract_x
_atom_site_fract_y
_atom_site_fract_z
Ho1 Ho 0.0000 0.0000 0.0000
Er1 Er 0.0000 0.0000 0.1392
Co1 Co 0.0012 0.5006 0.9184
Ni1 Ni 0.0000 0.0000 0.3334
Ni2 Ni 0.0000 0.0000 0.5000

No. 2
# HoErCoSi2 | OQMD | PBE | relaxed
# Raw total energy, eV per cell: -123.9
# M_tot, μB/cell: 0.01
data_HoErCoSi2
_symmetry_space_group_name_H-M 'C 1 2/m 1'
_symmetry_Int_Tables_number 12
_symmetry_space_group_name_Hall '-C 2y'
_cell_length_a 10.240
_cell_length_b 4.131
_cell_length_c 9.952
_cell_angle_alpha 90.00
_cell_angle_beta 118.23
_cell_angle_gamma 90.00
loop_
_atom_site_label
_atom_site_type_symbol
_atom_site_fract_x
_atom_site_fract_y
_atom_site_fract_z
Ho1 Ho 0.003 0.000 0.330
Er1 Er 0.189 0.000 0.112
Co1 Co 0.225 0.500 0.355
Si1 Si 0.008 0.500 0.880
Si2 Si 0.155 0.500 0.562

No. 3
# HoEr2Co2Si4 | OQMD | PBE | relaxed
# Raw total energy, eV per cell: -113.3
# M_tot, μB/cell: 0.02
data_HoEr2Co2Si4
_symmetry_space_group_name_H-M 'C 1 2/m 1'
_symmetry_Int_Tables_number 12
_symmetry_space_group_name_Hall '-C 2y'
_cell_length_a 10.359
_cell_length_b 4.016
_cell_length_c 7.772
_cell_angle_alpha 90.00
_cell_angle_beta 106.78
_cell_angle_gamma 90.00
loop_
_atom_site_label
_atom_site_type_symbol
_atom_site_fract_x
_atom_site_fract_y
_atom_site_fract_z
Ho1 Ho 0.000 0.000 0.000
Er1 Er 0.119 0.500 0.694
Co1 Co 0.192 0.500 0.368
Si1 Si 0.102 0.000 0.407
Si2 Si 0.217 0.500 0.079

No. 4
# HoErCo2Sn | OQMD | PBE | relaxed
# Raw total energy, eV per cell: -59.2
# M_tot, μB/cell: 2.36
data_HoErCo2Sn
_symmetry_space_group_name_H-M 'A m m 2'
_symmetry_Int_Tables_number 38
_symmetry_space_group_name_Hall 'A 2 -2'
_cell_length_a 3.801
_cell_length_b 3.800
_cell_length_c 13.718
_cell_angle_alpha 90.00
_cell_angle_beta 90.00
_cell_angle_gamma 90.00
loop_
_atom_site_label
_atom_site_type_symbol
_atom_site_fract_x
_atom_site_fract_y
_atom_site_fract_z
Ho1 Ho 0.000 0.000 0.000
Er1 Er 0.000 0.000 0.277
Co1 Co 0.500 0.000 0.435
Co2 Co 0.500 0.000 0.841
Sn1 Sn 0.500 0.000 0.639

No. 5
# Ho3Er3CoTe2 | OQMD | PBE | relaxed
# Raw total energy, eV per cell: -46.7
# M_tot, μB/cell: 0.07
data_Ho3Er3CoTe2
_symmetry_space_group_name_H-M 'P -6 2 m'
_symmetry_Int_Tables_number 189
_symmetry_space_group_name_Hall 'P -6 -2'
_cell_length_a 8.2987
_cell_length_b 8.2987
_cell_length_c 3.8884
_cell_angle_alpha 90.00
_cell_angle_beta 90.00
_cell_angle_gamma 120.00
loop_
_atom_site_label
_atom_site_type_symbol
_atom_site_fract_x
_atom_site_fract_y
_atom_site_fract_z
Ho1 Ho 0.0000 0.2357 0.0000
Er1 Er 0.0000 0.6015 0.5000
Co1 Co 0.0000 0.0000 0.5000
Te1 Te 0.3333 0.6667 0.0000

No. 6
# Ho3Er2TmCoTe2 | OQMD | PBE | relaxed
# Raw total energy, eV per cell: -76.1
# M_tot, μB/cell: 0.74
data_Ho3Er2TmCoTe2
_symmetry_space_group_name_H-M 'A m m 2'
_symmetry_Int_Tables_number 38
_symmetry_space_group_name_Hall 'A 2 -2'
_cell_length_a 3.263
_cell_length_b 16.367
_cell_length_c 9.399
_cell_angle_alpha 90.00
_cell_angle_beta 90.00
_cell_angle_gamma 90.00
loop_
_atom_site_label
_atom_site_type_symbol
_atom_site_fract_x
_atom_site_fract_y
_atom_site_fract_z
Ho1 Ho 0.000 0.000 0.000
Ho2 Ho 0.000 0.157 0.469
Er1 Er 0.000 0.169 0.144
Tm1 Tm 0.000 0.000 0.648
Co1 Co 0.000 0.000 0.317
Te1 Te 0.000 0.166 0.813

No. 7
# HoErTlCo2 | OQMD | PBE | relaxed
# Raw total energy, eV per cell: -54.5
# M_tot, μB/cell: 2.68
data_HoErTlCo2
_symmetry_space_group_name_H-M 'A m m 2'
_symmetry_Int_Tables_number 38
_symmetry_space_group_name_Hall 'A 2 -2'
_cell_length_a 3.824
_cell_length_b 3.814
_cell_length_c 14.012
_cell_angle_alpha 90.00
_cell_angle_beta 90.00
_cell_angle_gamma 90.00
loop_
_atom_site_label
_atom_site_type_symbol
_atom_site_fract_x
_atom_site_fract_y
_atom_site_fract_z
Ho1 Ho 0.000 0.000 0.000
Er1 Er 0.000 0.000 0.281
Tl1 Tl 0.500 0.000 0.641
Co1 Co 0.500 0.000 0.434
Co2 Co 0.500 0.000 0.847

No. 8
# HoErZnCo2 | OQMD | PBE | relaxed
# Energy of formation from the pure elements, meV/atom: -323
# Raw total energy, eV per cell: -52.5
# M_tot, μB/cell: 0.20
data_HoErZnCo2
_symmetry_space_group_name_H-M 'I m m 2'
_symmetry_Int_Tables_number 44
_symmetry_space_group_name_Hall 'I 2 -2'
_cell_length_a 4.049
_cell_length_b 5.442
_cell_length_c 8.106
_cell_angle_alpha 90.00
_cell_angle_beta 90.00
_cell_angle_gamma 90.00
loop_
_atom_site_label
_atom_site_type_symbol
_atom_site_fract_x
_atom_site_fract_y
_atom_site_fract_z
Ho1 Ho 0.000 0.000 0.000
Er1 Er 0.000 0.000 0.416
Zn1 Zn 0.000 0.500 0.208
Co1 Co 0.000 0.289 0.709

No. 9
# Er7CoI12 | OQMD | PBE | relaxed
# Raw total energy, eV per cell: -243.9
# M_tot, μB/cell: 0.08
data_Er7CoI12
_symmetry_space_group_name_H-M 'R -3'
_symmetry_Int_Tables_number 148
_symmetry_space_group_name_Hall '-R 3'
_cell_length_a 15.5321
_cell_length_b 15.5321
_cell_length_c 10.8708
_cell_angle_alpha 90.00
_cell_angle_beta 90.00
_cell_angle_gamma 120.00
loop_
_atom_site_label
_atom_site_type_symbol
_atom_site_fract_x
_atom_site_fract_y
_atom_site_fract_z
Er1 Er 0.0000 0.0000 0.0000
Er2 Er 0.0419 0.1532 0.3672
Co1 Co 0.0000 0.0000 0.5000
I1 I 0.0187 0.5865 0.1571
I2 I 0.0497 0.1763 0.8375

No. 10
# ErLuCo2I2 | OQMD | PBE | relaxed
# Raw total energy, eV per cell: -31.2
# M_tot, μB/cell: 0.48
data_ErLuCo2I2
_symmetry_space_group_name_H-M 'P 3 m 1'
_symmetry_Int_Tables_number 156
_symmetry_space_group_name_Hall 'P 3 -2"'
_cell_length_a 3.9494
_cell_length_b 3.9494
_cell_length_c 12.0925
_cell_angle_alpha 90.00
_cell_angle_beta 90.00
_cell_angle_gamma 120.00
loop_
_atom_site_label
_atom_site_type_symbol
_atom_site_fract_x
_atom_site_fract_y
_atom_site_fract_z
Er1 Er 0.0000 0.0000 0.0000
Lu1 Lu 0.0000 0.0000 0.7056
Co1 Co 0.3333 0.6667 0.8475
Co2 Co 0.6667 0.3333 0.8539
I1 I 0.3333 0.6667 0.1777
I2 I 0.6667 0.3333 0.5302

No. 11
# TbErCo2I2 | OQMD | PBE | relaxed
# Raw total energy, eV per cell: -31.3
# M_tot, μB/cell: 0.43
data_TbErCo2I2
_symmetry_space_group_name_H-M 'P 3 m 1'
_symmetry_Int_Tables_number 156
_symmetry_space_group_name_Hall 'P 3 -2"'
_cell_length_a 3.9651
_cell_length_b 3.9651
_cell_length_c 12.1898
_cell_angle_alpha 90.00
_cell_angle_beta 90.00
_cell_angle_gamma 120.00
loop_
_atom_site_label
_atom_site_type_symbol
_atom_site_fract_x
_atom_site_fract_y
_atom_site_fract_z
Tb1 Tb 0.0000 0.0000 0.0000
Er1 Er 0.0000 0.0000 0.2977
Co1 Co 0.3333 0.6667 0.1480
Co2 Co 0.6667 0.3333 0.1545
I1 I 0.3333 0.6667 0.4713
I2 I 0.6667 0.3333 0.8210

No. 12
# YErCo2I2 | OQMD | PBE | relaxed
# Raw total energy, eV per cell: -33.1
# M_tot, μB/cell: 0.50
data_YErCo2I2
_symmetry_space_group_name_H-M 'P 3 m 1'
_symmetry_Int_Tables_number 156
_symmetry_space_group_name_Hall 'P 3 -2"'
_cell_length_a 3.9543
_cell_length_b 3.9543
_cell_length_c 11.9519
_cell_angle_alpha 90.00
_cell_angle_beta 90.00
_cell_angle_gamma 120.00
loop_
_atom_site_label
_atom_site_type_symbol
_atom_site_fract_x
_atom_site_fract_y
_atom_site_fract_z
Y1 Y 0.0000 0.0000 0.0000
Er1 Er 0.0000 0.0000 0.6939
Co1 Co 0.3333 0.6667 0.8486
Co2 Co 0.6667 0.3333 0.8408
I1 I 0.3333 0.6667 0.5140
I2 I 0.6667 0.3333 0.1816